# VIn3O7 GGA+U relaxed
data_VIn3O7
_chemical_formula_sum 'V4 In12 O28'
_cell_length_a 10.3903
_cell_length_b 7.4990
_cell_length_c 7.0627
_cell_angle_alpha 90.00
_cell_angle_beta 90.00
_cell_angle_gamma 90.00
_space_group_name_H-M_alt 'C m c m'
_space_group_IT_number 63
_space_group_name_Hall '-C 2c 2'
loop_
_atom_site_label
_atom_site_fract_x
_atom_site_fract_y
_atom_site_fract_z
V1 0.0000 0.0175 0.2500
In1 0.0000 0.4426 0.7500
In2 0.2500 0.2500 0.0000
O1 0.0000 0.0000 0.0000
O2 0.1262 0.1962 0.7500
O3 0.1336 0.1732 0.2500
O4 0.1347 0.5000 0.0000
# Total DFT energy (no corrections) in eV per atom: -6.20